Mn3FeF | PBE+U | relaxed

DFT total energy: -5.149 eV/atom

Cell lengths 5.151, 5.151, 5.151 Å; angles 90.00, 90.00, 90.00 degrees
Space group Pm-3m (No. 221)
Symmetry-distinct sites (fractional):
Mn: 0.000 0.000 0.500 x3
Fe: 0.000 0.000 0.000 x1
F: 0.500 0.500 0.500 x1